[1]
Material: FeSb2W
Method: DFT, PBE
State: optimized geometry

Uncorrected formation energy, kJ per mole of atoms: 107.17
Calculated density, g/cm3: 7.24
Uncorrected energy, eV/atom: -6.304
Energy above the lowest structure with this stoichiometry, kJ/mol of atoms: 84.0

Unit cell a=6.2114 b=6.2114 c=11.4876 alpha=90.00 beta=90.00 gamma=90.00
With the nearest neighbours (Å) after each atom.
Space group I-42d (No. 122)
Inequivalent atoms, fractional coordinates:
Fe 0.0000 0.0000 0.0000 x4  4 Sb 2.59
Sb 0.2400 0.2500 0.1250 x8  2 Fe 2.59, 2 W 2.66
W 0.0000 0.0000 0.5000 x4  4 Sb 2.66

[2]
Material: Fe2SbW
Method: DFT, PBE
State: optimized geometry

Uncorrected formation energy, kJ per mole of atoms: 54.05
Calculated density, g/cm3: 10.94
Uncorrected energy, eV/atom: -7.940
Energy above the lowest structure with this stoichiometry, kJ/mol of atoms: 25.5

Unit cell a=3.0004 b=3.0004 c=24.3724 alpha=90.00 beta=90.00 gamma=120.00
With the nearest neighbours (Å) after each atom.
Space group R3m (No. 160, hexagonal axes)
Inequivalent atoms, fractional coordinates:
Fe 0.0000 0.0000 0.0000 x3  3 Fe 2.48, 3 Sb 2.72
Fe 0.0000 0.0000 0.2604 x3  3 Fe 2.48, 3 W 2.56
Sb 0.0000 0.0000 0.7527 x3  3 Fe 2.72, 3 W 2.93, 6 Sb 3.00
W 0.0000 0.0000 0.5163 x3  3 Fe 2.56

[3]
Material: FeSbW2
Method: DFT, PBE
State: optimized geometry

Uncorrected formation energy, kJ per mole of atoms: 51.19
Calculated density, g/cm3: 14.12
Uncorrected energy, eV/atom: -9.092
Energy above the lowest structure with this stoichiometry, kJ/mol of atoms: 13.0

Unit cell a=3.8100 b=3.8100 c=4.4162 alpha=90.00 beta=90.00 gamma=90.00
With the nearest neighbours (Å) after each atom.
Space group P4/mmm (No. 123)
Inequivalent atoms, fractional coordinates:
Fe 0.0000 0.0000 0.0000 x1  4 Sb 2.69, 8 W 2.92
Sb 0.5000 0.5000 0.0000 x1  4 Fe 2.69, 8 W 2.92
W 0.0000 0.5000 0.5000 x2  4 W 2.69, 4 Fe 2.92, 4 Sb 2.92

[4]
Material: FeSb2W
Method: DFT, PBE
State: optimized geometry

Uncorrected formation energy, kJ per mole of atoms: 78.59
Calculated density, g/cm3: 10.61
Uncorrected energy, eV/atom: -6.601
Energy above the lowest structure with this stoichiometry, kJ/mol of atoms: 55.4

Unit cell a=3.5360 b=4.1974 c=5.0953 alpha=90.00 beta=90.00 gamma=90.00
With the nearest neighbours (Å) after each atom.
Space group Pmmm (No. 47)
Inequivalent atoms, fractional coordinates:
Fe 0.0000 0.0000 0.0000 x1  4 Sb 2.74
Sb 0.0000 0.5000 0.5000 x1  4 W 2.74
Sb 0.5000 0.5000 0.0000 x1  4 Fe 2.74
W 0.5000 0.0000 0.5000 x1  4 Sb 2.74

[5]
Material: FeSb2W
Method: DFT, PBE
State: optimized geometry

Uncorrected formation energy, kJ per mole of atoms: 87.90
Calculated density, g/cm3: 10.53
Uncorrected energy, eV/atom: -6.504
Energy above the lowest structure with this stoichiometry, kJ/mol of atoms: 64.7

Unit cell a=6.7289 b=6.7289 c=6.7289 alpha=90.00 beta=90.00 gamma=90.00
With the nearest neighbours (Å) after each atom.
Space group F-43m (No. 216)
Inequivalent atoms, fractional coordinates:
Fe 0.0000 0.0000 0.0000 x4  4 W 2.91, 4 Sb 2.91
Sb 0.0000 0.0000 0.5000 x4  4 W 2.91, 4 Sb 2.91
Sb 0.2500 0.2500 0.7500 x4  4 Fe 2.91, 4 Sb 2.91
W 0.2500 0.2500 0.2500 x4  4 Fe 2.91, 4 Sb 2.91

[6]
Material: Fe2SbW
Method: DFT, PBE
State: optimized geometry

Uncorrected formation energy, kJ per mole of atoms: 109.45
Calculated density, g/cm3: 8.38
Uncorrected energy, eV/atom: -7.366
Energy above the lowest structure with this stoichiometry, kJ/mol of atoms: 80.9

Unit cell a=5.4852 b=5.4852 c=10.9925 alpha=90.00 beta=90.00 gamma=90.00
With the nearest neighbours (Å) after each atom.
Space group I-42d (No. 122)
Inequivalent atoms, fractional coordinates:
Fe 0.2254 0.2500 0.1250 x8  2 W 2.30, 2 Sb 2.46
Sb 0.0000 0.0000 0.5000 x4  4 Fe 2.46
W 0.0000 0.0000 0.0000 x4  4 Fe 2.30

[7]
Material: Fe2SbW
Method: DFT, PBE
State: optimized geometry

Uncorrected formation energy, kJ per mole of atoms: 46.34
Calculated density, g/cm3: 10.97
Uncorrected energy, eV/atom: -8.020
Energy above the lowest structure with this stoichiometry, kJ/mol of atoms: 17.8

Unit cell a=3.4318 b=4.5410 c=8.1083 alpha=90.00 beta=90.00 gamma=90.00
With the nearest neighbours (Å) after each atom.
Space group Cmmm (No. 65)
Inequivalent atoms, fractional coordinates:
Fe 0.0000 0.0000 0.2366 x4  2 W 2.57, 2 Sb 2.74, 4 Fe 2.85
Sb 0.0000 0.5000 0.5000 x2  4 Fe 2.74, 4 Sb 2.85
W 0.0000 0.5000 0.0000 x2  4 Fe 2.57, 4 W 2.85

[8]
Material: YFeSb3
Method: DFT, PBE
State: optimized geometry

Uncorrected formation energy, kJ per mole of atoms: 11.76
Calculated density, g/cm3: 6.68
Uncorrected energy, eV/atom: -5.337
Energy above the lowest structure with this stoichiometry, kJ/mol of atoms: 0.0

Unit cell a=5.0238 b=5.0238 c=5.0238 alpha=90.00 beta=90.00 gamma=90.00
With the nearest neighbours (Å) after each atom.
Space group Pm-3m (No. 221)
Inequivalent atoms, fractional coordinates:
Y 0.0000 0.0000 0.0000 x1  12 Sb 3.55
Fe 0.5000 0.5000 0.5000 x1  6 Sb 2.51
Sb 0.0000 0.5000 0.5000 x3  2 Fe 2.51

[9]
Material: YFeSb4
Method: DFT, PBE
State: optimized geometry

Uncorrected formation energy, kJ per mole of atoms: 38.50
Calculated density, g/cm3: 6.40
Uncorrected energy, eV/atom: -4.837

Unit cell a=8.6889 b=8.6889 c=8.6889 alpha=90.00 beta=90.00 gamma=90.00
With the nearest neighbours (Å) after each atom.
Space group F-43m (No. 216)
Inequivalent atoms, fractional coordinates:
Y 0.0000 0.0000 0.0000 x4  12 Sb 3.60, 4 Fe 3.76
Fe 0.2500 0.2500 0.7500 x4  12 Sb 3.60, 4 Y 3.76
Sb 0.1244 0.1244 0.3756 x16  6 Sb 3.06-3.09

[10]
Material: YFeSb3
Method: DFT, PBE
State: optimized geometry

Uncorrected formation energy, kJ per mole of atoms: 91.70
Calculated density, g/cm3: 4.52
Uncorrected energy, eV/atom: -4.508
Energy above the lowest structure with this stoichiometry, kJ/mol of atoms: 79.9

Unit cell a=5.7209 b=5.7209 c=5.7209 alpha=90.00 beta=90.00 gamma=90.00
With the nearest neighbours (Å) after each atom.
Space group Pm-3m (No. 221)
Inequivalent atoms, fractional coordinates:
Y 0.0000 0.0000 0.0000 x1  6 Sb 2.86
Fe 0.5000 0.5000 0.5000 x1  12 Sb 4.05
Sb 0.0000 0.0000 0.5000 x3  2 Y 2.86

[11]
Material: Y2FeSb4
Method: DFT, PBE
State: optimized geometry

Uncorrected formation energy, kJ per mole of atoms: -20.32
Calculated density, g/cm3: 6.26
Uncorrected energy, eV/atom: -5.622

Unit cell a=4.9080 b=4.9080 c=15.8729 alpha=90.00 beta=90.00 gamma=90.00
With the nearest neighbours (Å) after each atom.
Space group I4/mmm (No. 139)
Inequivalent atoms, fractional coordinates:
Y 0.0000 0.0000 0.1398 x4  5 Sb 3.03-3.31
Fe 0.0000 0.0000 0.5000 x2  6 Sb 2.45-2.68
Sb 0.0000 0.0000 0.3310 x4  1 Fe 2.68
Sb 0.0000 0.5000 0.0000 x4  2 Fe 2.45

[12]
Material: Y2Fe2Sb
Method: DFT, PBE
State: optimized geometry

Uncorrected formation energy, kJ per mole of atoms: -19.99
Calculated density, g/cm3: 6.87
Uncorrected energy, eV/atom: -7.002

Unit cell a=6.7891 b=6.7891 c=4.3114 alpha=90.00 beta=90.00 gamma=90.00
With the nearest neighbours (Å) after each atom.
Space group P4/mbm (No. 127)
Inequivalent atoms, fractional coordinates:
Y 0.1799 0.3201 0.0000 x4  6 Fe 2.95-2.96, 4 Sb 3.30
Fe 0.1098 0.6098 0.5000 x4  1 Fe 2.11
Sb 0.0000 0.0000 0.5000 x2  4 Fe 2.75